# 1
Below is a relaxed structure of RbReNi, with properties calculated at the PBE-GGA level.

Cell and atoms, written as POSCAR:
```
RbReNi
1.0
4.138 0.000 0.000
2.069 3.585 0.000
2.056 -1.122 12.037
Rb Re Ni
2 2 2
direct
0.000 0.000 0.000
0.397 0.810 0.392
0.478 0.265 0.778
0.867 0.572 0.692
0.214 0.899 0.672
0.605 0.205 0.583
```

Computed properties:
* energy: -17.316 eV per formula unit
* formation energy: 0.6271 eV per atom
* spin magnetization: 0.1347 μB per atom
* relative energy among the computed polymorphs: 2.17 kcal/mol of atoms


# 2
Below is a relaxed structure of IrPd, with properties calculated at the PBE-GGA level.

Cell and atoms, written as POSCAR:
```
IrPd
1.0
2.767 0.000 0.000
0.000 3.856 0.000
0.000 0.000 5.583
Ir Pd
2 2
direct
0.250 0.250 0.110
0.750 0.750 0.890
0.250 0.250 0.625
0.750 0.750 0.375
```

Computed properties:
* energy: -13.895 eV per formula unit
* formation energy: 0.0794 eV per atom
* spin magnetization: 0.0000 μB per atom


# 3
Below is a relaxed structure of La2TbNd4Mg, with properties calculated at the PBE-GGA level.

Cell and atoms, written as POSCAR:
```
La2TbNd4Mg
1.0
5.934 0.000 0.000
0.000 5.934 0.000
0.000 0.000 7.647
La Tb Nd Mg
2 1 4 1
direct
0.000 0.000 0.000
0.500 0.500 0.500
0.000 0.000 0.500
0.000 0.500 0.234
0.000 0.500 0.766
0.500 0.000 0.234
0.500 0.000 0.766
0.500 0.500 0.000
```

Computed properties:
* energy: -34.509 eV per formula unit
* formation energy: 0.0802 eV per atom
* spin magnetization: 0.0000 μB per atom


# 4
Below is a relaxed structure of LaTaNi2Sn, with properties calculated at the PBE-GGA level.

Cell and atoms, written as POSCAR:
```
LaTaNi2Sn
1.0
4.621 0.000 0.000
0.000 4.621 0.000
0.000 0.000 5.382
La Ta Ni Sn
1 1 2 1
direct
0.000 0.000 0.000
0.000 0.000 0.500
0.000 0.500 0.000
0.500 0.000 0.000
0.500 0.500 0.500
```

Computed properties:
* energy: -25.116 eV per formula unit
* formation energy: 1.4459 eV per atom
* spin magnetization: 0.1445 μB per atom


# 5
Below is a relaxed structure of LiHfSb2, with properties calculated at the PBE-GGA level.

Cell and atoms, written as POSCAR:
```
LiHfSb2
1.0
7.612 0.000 0.000
0.000 7.612 0.000
0.000 0.000 6.520
Li Hf Sb
4 4 8
direct
0.000 0.000 0.000
0.000 0.500 0.250
0.500 0.000 0.750
0.500 0.500 0.500
0.000 0.000 0.500
0.000 0.500 0.750
0.500 0.000 0.250
0.500 0.500 0.000
0.237 0.250 0.125
0.250 0.737 0.375
0.250 0.763 0.875
0.263 0.250 0.625
0.737 0.750 0.625
0.750 0.237 0.875
0.750 0.263 0.375
0.763 0.750 0.125
```

Computed properties:
* energy: -20.795 eV per formula unit
* spin magnetization: 0.0000 μB per atom
* relative energy among the computed polymorphs: 5.08 kcal/mol of atoms
* E_form (uncorrected): -171 meV/atom


Repeat the third record exactly.
Below is a relaxed structure of La2TbNd4Mg, with properties calculated at the PBE-GGA level.

Cell and atoms, written as POSCAR:
```
La2TbNd4Mg
1.0
5.934 0.000 0.000
0.000 5.934 0.000
0.000 0.000 7.647
La Tb Nd Mg
2 1 4 1
direct
0.000 0.000 0.000
0.500 0.500 0.500
0.000 0.000 0.500
0.000 0.500 0.234
0.000 0.500 0.766
0.500 0.000 0.234
0.500 0.000 0.766
0.500 0.500 0.000
```

Computed properties:
* energy: -34.509 eV per formula unit
* formation energy: 0.0802 eV per atom
* spin magnetization: 0.0000 μB per atom


> Look up the spin magnetization of the second one.

0.0000 μB per atom


Repeat the first record exactly.
Below is a relaxed structure of RbReNi, with properties calculated at the PBE-GGA level.

Cell and atoms, written as POSCAR:
```
RbReNi
1.0
4.138 0.000 0.000
2.069 3.585 0.000
2.056 -1.122 12.037
Rb Re Ni
2 2 2
direct
0.000 0.000 0.000
0.397 0.810 0.392
0.478 0.265 0.778
0.867 0.572 0.692
0.214 0.899 0.672
0.605 0.205 0.583
```

Computed properties:
* energy: -17.316 eV per formula unit
* formation energy: 0.6271 eV per atom
* spin magnetization: 0.1347 μB per atom
* relative energy among the computed polymorphs: 2.17 kcal/mol of atoms